No. 1
Material: YNp
Method: DFT, PBE
State: relaxed

a = 4.6311 Å, b = 4.6311 Å, c = 4.6311 Å
α = 60.00°, β = 60.00°, γ = 60.00°
Site moments in Bohr magnetons follow the coordinates.
Fractional positions:
Np: 0.0000 0.0000 0.0000  4.66
Y: 0.2500 0.2500 0.2500  0.71

Energy above the most stable polymorph in this dataset: 1807.3 meV/atom
Volume: 70 Å³ per cell
DFT formation energy: 2.298 eV per atom
Symmetry: F-43m (216)
Total energy: -14.638 eV per cell

***

No. 2
Material: YNp
Method: DFT, PBE
State: relaxed

a = 4.4528 Å, b = 4.4528 Å, c = 4.4528 Å
α = 60.00°, β = 60.00°, γ = 60.00°
Site moments in Bohr magnetons follow the coordinates.
Fractional positions:
Np: 0.0000 0.0000 0.0000  4.51
Y: 0.5000 0.5000 0.5000  0.63

Energy above the most stable polymorph in this dataset: 802.1 meV/atom
Volume: 62 Å³ per cell
DFT formation energy: 1.293 eV per atom
Symmetry: Fm-3m (225)
Total energy: -16.649 eV per cell

***

No. 3
Material: Y2Np
Method: DFT, PBE
State: relaxed

a = 8.5531 Å, b = 8.5531 Å, c = 8.5531 Å
α = 60.00°, β = 60.00°, γ = 60.00°
Site moments in Bohr magnetons follow the coordinates.
Fractional positions:
Y: 0.6250 0.1250 0.1250  0.27
Y: 0.1250 0.1250 0.1250  0.22
Y: 0.1250 0.1250 0.6250  0.22
Np: 0.2500 0.2500 0.2500  3.84
Np: 0.0000 0.0000 0.0000  3.84
Y: 0.1250 0.6250 0.1250  0.23

Volume: 442 Å³ per cell
DFT formation energy: 2.724 eV per atom
Symmetry: Fd-3m (227)
Total energy: -35.057 eV per cell

***

No. 4
Material: YNpZn
Method: DFT, PBE
State: relaxed

a = 4.8230 Å, b = 4.8230 Å, c = 4.8230 Å
α = 60.00°, β = 60.00°, γ = 60.00°
Site moments in Bohr magnetons follow the coordinates.
Fractional positions:
Np: 0.2500 0.2500 0.2500  4.08
Y: 0.7500 0.7500 0.7500  0.28
Zn: 0.0000 0.0000 0.0000  0.02

Energy above the most stable polymorph in this dataset: 0.0 meV/atom
Volume: 79 Å³ per cell
DFT formation energy: 0.543 eV per atom
Symmetry: F-43m (216)
Total energy: -18.870 eV per cell